Entry from the Open Quantum Materials Database: a relaxed structure of PrSnMo (GGA-PBE).

Results
Magnetic moment   1.289 μB per atom
Space group   No. 216
Energy relative to the lowest polymorph listed for this composition   581 meV/atom

Geometry as CIF:
```
data_PrSnMo
_chemical_formula_sum 'Pr1 Sn1 Mo1'
_symmetry_space_group_name_H-M 'P 1'
_symmetry_Int_Tables_number 1
_cell_length_a 5.100
_cell_length_b 5.100
_cell_length_c 5.100
_cell_angle_alpha 60.00
_cell_angle_beta 60.00
_cell_angle_gamma 60.00
loop_
_symmetry_equiv_pos_as_xyz
'x,y,z'
loop_
_atom_site_label
_atom_site_type_symbol
_atom_site_fract_x
_atom_site_fract_y
_atom_site_fract_z
Mo1 Mo 0.250 0.250 0.250
Pr1 Pr 0.000 0.000 0.000
Sn1 Sn 0.750 0.750 0.750
```